A geometry-optimized ScCSe2 structure. Source: the Alexandria database, functional GGA-PBE.

Cell: 3.9047 3.9047 20.2431 Å, 90.00 90.00 120.00°
Space group R-3m (No. 166, hexagonal axes)
Symmetry-distinct sites (fractional):
Sc (0.0000, 0.0000, 0.0000) (multiplicity 3)
C (0.0000, 0.0000, 0.5000) (multiplicity 3)
Se (0.0000, 0.0000, 0.4100) (multiplicity 6)

Results
- Crystal system: trigonal
- Final energy: -5.255 eV/atom
- N(E_F): 4.98 states/eV/cell
- Formation energy from raw total energies: 1.50 eV per formula unit

=====

A geometry-optimized Sc6C2Se structure. Source: the Alexandria database, functional GGA-PBE.

Cell: 11.676 4.500 7.836 Å, 90.00 121.91 90.00°
Space group C2/m (No. 12)
Symmetry-distinct sites (fractional):
Sc (0.036, 0.000, 0.202) (multiplicity 4)
Sc (0.159, 0.500, 0.590) (multiplicity 4)
Sc (0.187, 0.500, 0.064) (multiplicity 4)
C (0.182, 0.000, 0.091) (multiplicity 4)
Se (0.000, 0.000, 0.500) (multiplicity 2)

Results
- Crystal system: monoclinic
- Final energy: -7.215 eV/atom
- N(E_F): 11.63 states/eV/cell
- Formation energy from raw total energies: -5.01 eV per formula unit

=====

A geometry-optimized ScCSe2 structure. Source: the Alexandria database, functional GGA-PBE.

Cell: 5.513 5.513 11.440 Å, 90.00 90.00 90.00°
Space group I-42d (No. 122)
Symmetry-distinct sites (fractional):
Sc (0.000, 0.000, 0.000) (multiplicity 4)
C (0.000, 0.000, 0.500) (multiplicity 4)
Se (0.183, 0.250, 0.625) (multiplicity 8)

Results
- Crystal system: tetragonal
- Final energy: -5.210 eV/atom
- N(E_F): 18.99 states/eV/cell
- Formation energy from raw total energies: 1.68 eV per formula unit

=====

A geometry-optimized ScCSe3 structure. Source: the Alexandria database, functional GGA-PBE.

Cell: 5.109 5.109 5.109 Å, 90.00 90.00 90.00°
Space group Pm-3m (No. 221)
Symmetry-distinct sites (fractional):
Sc (0.000, 0.000, 0.000) (multiplicity 1)
C (0.500, 0.500, 0.500) (multiplicity 1)
Se (0.000, 0.000, 0.500) (multiplicity 3)

Results
- Crystal system: cubic
- Final energy: -4.060 eV/atom
- N(E_F): 9.00 states/eV/cell
- Polymorph energy (0 for the lowest one): 4.04 eV per formula unit
- Formation energy from raw total energies: 5.71 eV per formula unit